Entry from Alexandria via LeMat-Bulk: a PBEsol-optimized structure of KYB4H16 (meta-GGA SCAN).

- Total energy: -5.89 eV per atom
- SG: No. 63
- Total moment: 0.000 μB/atom

```
44
Lattice="4.0740 -6.0045 0.0000 4.0740 6.0045 0.0000 0.0000 0.0000 9.2828" Properties=species:S:1:pos:R:3 pbc="T T T"
K 0.0000 0.0000 0.0000
K 0.0000 0.0000 4.6414
Y 4.0740 1.5667 6.9621
Y 4.0740 -1.5667 2.3207
B 2.1110 0.0949 6.9621
B 4.0740 2.8791 4.9056
B 4.0740 2.8791 9.0186
B 2.1110 -0.0949 2.3207
B 6.0370 0.0949 6.9621
B 4.0740 -2.8791 0.2642
B 4.0740 -2.8791 4.3772
B 6.0370 -0.0949 2.3207
H 1.1692 0.6652 2.3207
H 1.7617 1.2883 6.9621
H 3.0679 3.1166 5.6025
H 3.0679 3.1166 8.3217
H 1.1692 -0.6652 6.9621
H 4.0740 3.4807 0.7840
H 4.0740 3.4807 3.8574
H 1.7617 -1.2883 2.3207
H 2.8244 0.0969 1.3236
H 2.8244 0.0969 3.3178
H 2.8244 -0.0969 5.9649
H 2.8244 -0.0969 7.9592
H 4.0740 1.6528 4.6889
H 4.0740 1.6528 9.2353
H 5.0802 3.1166 5.6025
H 5.0802 3.1166 8.3217
H 3.0679 -3.1166 0.9611
H 3.0679 -3.1166 3.6803
H 4.0740 -1.6528 0.0475
H 4.0740 -1.6528 4.5939
H 5.3237 0.0969 1.3236
H 5.3237 0.0969 3.3178
H 5.3237 -0.0969 5.9649
H 5.3237 -0.0969 7.9592
H 6.3863 1.2883 6.9621
H 4.0740 -3.4807 5.4254
H 4.0740 -3.4807 8.4988
H 6.9788 0.6652 2.3207
H 5.0802 -3.1166 0.9611
H 5.0802 -3.1166 3.6803
H 6.3863 -1.2883 2.3207
H 6.9788 -0.6652 6.9621
```

Entry from Alexandria via LeMat-Bulk: a PBEsol-optimized structure of Ag2OsBr (meta-GGA SCAN).

- SG: No. 123
- Formation energy without anion corrections: 1.03 eV/atom
- ΔE to the lowest computed polymorph: 275 meV per atom
- Total moment: 0.311 μB/atom

```
4
Lattice="5.2323 0.0000 0.0000 0.0000 5.2323 0.0000 0.0000 0.0000 2.6297" Properties=species:S:1:pos:R:3 pbc="T T T"
Ag 0.0000 2.6162 0.0000
Ag 2.6162 0.0000 0.0000
Os 0.0000 0.0000 1.3149
Br 2.6162 2.6162 1.3149
```

Entry from Alexandria via LeMat-Bulk: a PBEsol-optimized structure of Ta2TeO (meta-GGA SCAN).

- SG: No. 225
- Formation energy without anion corrections: 0.15 eV/atom
- Total moment: 0.000 μB/atom

```
4
Lattice="0.0000 3.1656 3.1656 3.1656 0.0000 3.1656 3.1656 3.1656 0.0000" Properties=species:S:1:pos:R:3 pbc="T T T"
Ta 1.5828 1.5828 1.5828
Ta 4.7485 4.7485 4.7485
Te 0.0000 0.0000 0.0000
O 3.1656 3.1656 3.1656
```

Entry from Alexandria via LeMat-Bulk: a PBEsol-optimized structure of AlSiPt (meta-GGA SCAN).

- SG: No. 156
- Formation energy without anion corrections: -0.45 eV/atom
- Total moment: 0.000 μB/atom

```
3
Lattice="2.9952 0.0000 0.0000 -1.4976 2.5939 0.0000 0.0000 0.0000 5.7883" Properties=species:S:1:pos:R:3 pbc="T T T"
Al 0.0000 0.0000 0.0000
Si 0.0000 1.7293 2.0403
Pt 1.4976 0.8646 3.8340
```

Entry from Alexandria via LeMat-Bulk: a PBEsol-optimized structure of HfScIr2 (meta-GGA SCAN).

- SG: No. 225
- ΔE_f: -1181 meV per atom
- Total moment: 0.000 μB/atom

```
4
Lattice="0.0000 3.2161 3.2161 3.2161 0.0000 3.2161 3.2161 3.2161 0.0000" Properties=species:S:1:pos:R:3 pbc="T T T"
Hf 0.0000 0.0000 0.0000
Sc 3.2161 3.2161 3.2161
Ir 1.6080 1.6080 1.6080
Ir 4.8241 4.8241 4.8241
```

Entry from Alexandria via LeMat-Bulk: a PBEsol-optimized structure of Ba3YB9O18 (meta-GGA SCAN).

- SG: No. 176
- Formation energy without anion corrections: -2.96 eV/atom
- Total moment: 0.000 μB/atom

```
62
Lattice="7.2058 0.0000 0.0000 -3.6029 6.2404 0.0000 0.0000 0.0000 16.7096" Properties=species:S:1:pos:R:3 pbc="T T T"
Ba 0.0000 0.0000 4.1774
Ba 0.0000 0.0000 12.5322
Ba 0.0000 4.1603 2.1651
Ba 0.0000 4.1603 6.1897
Ba 3.6029 2.0801 10.5199
Ba 3.6029 2.0801 14.5446
Y 0.0000 0.0000 0.0000
Y 0.0000 0.0000 8.3548
B -0.9502 3.0866 12.5322
B -1.3966 4.4663 9.7480
B -1.3966 4.4663 15.3164
B 0.4333 2.7978 9.7480
B 0.4333 2.7978 15.3164
B -0.4547 5.5200 12.5322
B 2.6396 1.0237 1.3932
B 2.6396 1.0237 6.9616
B 2.1980 2.3662 4.1774
B 1.4049 3.8742 12.5322
B 0.9633 5.2167 9.7480
B 0.9633 5.2167 15.3164
B 4.0576 0.7204 4.1774
B 3.1696 3.4426 1.3932
B 3.1696 3.4426 6.9616
B 4.9995 1.7741 1.3932
B 4.9995 1.7741 6.9616
B 4.5531 3.1538 4.1774
O -2.7049 4.7121 9.7458
O -2.7049 4.7121 15.3187
O -1.8059 4.1746 4.1774
O -0.9312 3.1361 9.7334
O -0.9312 3.1361 15.3311
O -1.3574 4.4320 12.5322
O 0.8745 1.5418 9.7458
O 0.8745 1.5418 15.3187
O 1.7725 0.0136 1.3910
O 1.7725 0.0136 6.9638
O 0.4434 2.8488 12.5322
O 0.8905 2.5891 4.1774
O -0.4213 5.4788 9.7334
O -0.4213 5.4788 15.3311
O 2.6875 0.5233 12.5322
O 2.6889 1.0404 4.1774
O 1.3525 3.8659 9.7334
O 1.3525 3.8659 15.3311
O 2.2504 2.3745 1.3785
O 2.2504 2.3745 6.9763
O 0.9140 5.2000 12.5322
O 0.9154 5.7171 4.1774
O 4.0242 0.7616 1.3785
O 4.0242 0.7616 6.9763
O 2.7124 3.6513 12.5322
O 3.1595 3.3916 4.1774
O 1.8304 6.2269 9.7458
O 1.8304 6.2269 15.3187
O 2.7284 4.6986 1.3910
O 2.7284 4.6986 6.9638
O 4.9603 1.8084 4.1774
O 4.5341 3.1043 1.3785
O 4.5341 3.1043 6.9763
O 5.4088 2.0658 12.5322
O 6.3078 1.5283 1.3910
O 6.3078 1.5283 6.9638
```

Entry from Alexandria via LeMat-Bulk: a PBEsol-optimized structure of AlRhCl2 (meta-GGA SCAN).

- SG: No. 65
- Formation energy without anion corrections: 0.00 eV/atom
- ΔE to the lowest computed polymorph: 461 meV per atom
- Total moment: 0.000 μB/atom

```
4
Lattice="1.5212 -2.7837 0.0000 1.5212 2.7837 0.0000 0.0000 0.0000 8.3802" Properties=species:S:1:pos:R:3 pbc="T T T"
Al 0.0000 0.0000 0.0000
Rh 0.0000 0.0000 4.1901
Cl 1.5212 0.0000 2.3936
Cl 1.5212 0.0000 5.9866
```

Entry from Alexandria via LeMat-Bulk: a PBEsol-optimized structure of AgBPt3 (meta-GGA SCAN).

- SG: No. 12
- ΔE_f: -273 meV per atom
- ΔE to the lowest computed polymorph: 0 meV per atom
- Total moment: 0.000 μB/atom

```
10
Lattice="4.8442 -2.8126 0.0000 4.8442 2.8126 0.0000 -1.6255 0.0000 5.2078" Properties=species:S:1:pos:R:3 pbc="T T T"
Ag -0.0584 0.0000 1.3979
Ag 8.1213 0.0000 3.8100
B 1.5919 0.0000 5.2049
B 6.4710 0.0000 0.0029
Pt 2.3696 1.3875 1.4135
Pt 3.2458 0.0000 3.7992
Pt 5.6934 1.3875 3.7944
Pt 2.3696 -1.3875 1.4135
Pt 4.8171 0.0000 1.4087
Pt 5.6934 -1.3875 3.7944
```

Entry from Alexandria via LeMat-Bulk: a PBEsol-optimized structure of MgAsRhSe2 (meta-GGA SCAN).

- SG: No. 123
- Formation energy without anion corrections: 0.06 eV/atom
- Total moment: 0.000 μB/atom

```
5
Lattice="5.0751 0.0000 0.0000 0.0000 5.0751 0.0000 0.0000 0.0000 4.4508" Properties=species:S:1:pos:R:3 pbc="T T T"
Mg 0.0000 0.0000 0.0000
As 2.5376 2.5376 0.0000
Rh 2.5376 2.5376 2.2254
Se 0.0000 2.5376 2.2254
Se 2.5376 0.0000 2.2254
```

Entry from Alexandria via LeMat-Bulk: a PBEsol-optimized structure of AgHPd3 (meta-GGA SCAN).

- Total energy: -26.71 eV per atom
- SG: No. 221
- Total moment: 0.001 μB/atom

```
5
Lattice="3.9647 0.0000 0.0000 0.0000 3.9647 0.0000 0.0000 0.0000 3.9647" Properties=species:S:1:pos:R:3 pbc="T T T"
Ag 0.0000 0.0000 0.0000
H 1.9823 1.9823 1.9823
Pd 0.0000 1.9823 1.9823
Pd 1.9823 0.0000 1.9823
Pd 1.9823 1.9823 0.0000
```

Entry from Alexandria via LeMat-Bulk: a PBEsol-optimized structure of LiScNi4 (meta-GGA SCAN).

- SG: No. 216
- ΔE_f: -336 meV per atom
- Total moment: 0.000 μB/atom

```
6
Lattice="0.0000 3.3363 3.3363 3.3363 0.0000 3.3363 3.3363 3.3363 0.0000" Properties=species:S:1:pos:R:3 pbc="T T T"
Li 0.0000 0.0000 0.0000
Sc 5.0044 5.0044 5.0044
Ni 2.4999 2.4999 2.4999
Ni 4.1727 4.1727 2.4999
Ni 4.1727 2.4999 4.1727
Ni 2.4999 4.1727 4.1727
```

Entry from Alexandria via LeMat-Bulk: a PBEsol-optimized structure of TiIrBr2 (meta-GGA SCAN).

- SG: No. 166
- Formation energy without anion corrections: 0.10 eV/atom
- Total moment: 0.000 μB/atom

```
4
Lattice="1.5745 0.9090 8.3571 -1.5745 0.9090 8.3571 0.0000 -1.8180 8.3571" Properties=species:S:1:pos:R:3 pbc="T T T"
Ti 0.0000 0.0000 0.0000
Ir 0.0000 0.0000 12.5356
Br 0.0000 0.0000 10.1334
Br 0.0000 0.0000 14.9378
```

Which formula does entry 9 have? MgAsRhSe2

Repeat the ninth record exactly.
Entry from Alexandria via LeMat-Bulk: a PBEsol-optimized structure of MgAsRhSe2 (meta-GGA SCAN).

- SG: No. 123
- Formation energy without anion corrections: 0.06 eV/atom
- Total moment: 0.000 μB/atom

```
5
Lattice="5.0751 0.0000 0.0000 0.0000 5.0751 0.0000 0.0000 0.0000 4.4508" Properties=species:S:1:pos:R:3 pbc="T T T"
Mg 0.0000 0.0000 0.0000
As 2.5376 2.5376 0.0000
Rh 2.5376 2.5376 2.2254
Se 0.0000 2.5376 2.2254
Se 2.5376 0.0000 2.2254
```